VASP calculation (PBE) on a geometry-optimized MnAs2Os structure.

a = 3.0499 Å, b = 4.5379 Å, c = 4.3114 Å
α = 90.00°, β = 90.00°, γ = 90.00°
With the nearest neighbours (Å) after each atom.
Space group Pmm2 (No. 25)
Inequivalent atoms, fractional coordinates:
Mn1 0.0000 0.0000 0.0000 [1 per cell]  6 As 2.50-2.70
As1 0.0000 0.5000 0.2427 [1 per cell]  2 Mn 2.50, 4 Os 2.55-2.73
As2 0.5000 0.0000 0.5162 [1 per cell]  2 Os 2.51, 4 Mn 2.58-2.70
Os1 0.5000 0.5000 0.7675 [1 per cell]  6 As 2.51-2.73

Results
Uncorrected energy   -7.32 eV per atom

VASP calculation (PBE) on a geometry-optimized MnAs3Os structure.

a = 4.4846 Å, b = 4.4846 Å, c = 4.4846 Å
α = 90.00°, β = 90.00°, γ = 90.00°
With the nearest neighbours (Å) after each atom.
Space group Pm-3m (No. 221)
Inequivalent atoms, fractional coordinates:
Mn1 0.0000 0.0000 0.0000 [1 per cell]  6 As 2.24
As1 0.0000 0.0000 0.5000 [3 per cell]  2 Mn 2.24
Os1 0.5000 0.5000 0.5000 [1 per cell]  12 As 3.17

Results
Uncorrected energy   -5.80 eV per atom

VASP calculation (PBE) on a geometry-optimized MnAs2Os structure.

a = 8.6195 Å, b = 3.1353 Å, c = 4.7030 Å
α = 90.00°, β = 104.04°, γ = 90.00°
With the nearest neighbours (Å) after each atom.
Space group Cm (No. 8)
Inequivalent atoms, fractional coordinates:
Mn1 0.0000 0.0000 0.0000 [2 per cell]  3 As 2.41-2.50
As1 0.2325 0.5000 0.0742 [2 per cell]  3 Mn 2.41-2.50, 2 Os 2.56
As2 0.4912 0.0000 0.4779 [2 per cell]  3 Os 2.52-2.59, 2 Mn 2.76
Os1 0.2246 0.0000 0.6409 [2 per cell]  5 As 2.52-2.59

Results
Uncorrected energy   -7.33 eV per atom

VASP calculation (PBE) on a geometry-optimized Mn4AsOs structure.

a = 6.6660 Å, b = 6.6660 Å, c = 6.6660 Å
α = 90.00°, β = 90.00°, γ = 90.00°
With the nearest neighbours (Å) after each atom.
Space group F-43m (No. 216)
Inequivalent atoms, fractional coordinates:
Mn1 0.1242 0.1242 0.3758 [16 per cell]  6 Mn 2.34-2.37
As1 0.2500 0.2500 0.7500 [4 per cell]  12 Mn 2.76, 4 Os 2.89
Os1 0.0000 0.0000 0.0000 [4 per cell]  12 Mn 2.77, 4 As 2.89

Results
Uncorrected energy   -8.37 eV per atom

VASP calculation (PBE) on a geometry-optimized MnAs2Os structure.

a = 7.9292 Å, b = 3.0193 Å, c = 5.1657 Å
α = 90.00°, β = 101.36°, γ = 90.00°
With the nearest neighbours (Å) after each atom.
Space group C2/m (No. 12)
Inequivalent atoms, fractional coordinates:
Mn1 0.0000 0.0000 0.0000 [2 per cell]  6 As 2.54-2.66
As1 0.2435 0.0000 0.7460 [4 per cell]  3 Mn 2.54-2.66, 3 Os 2.58-2.60
Os1 0.0000 0.5000 0.5000 [2 per cell]  6 As 2.58-2.60

Results
Uncorrected energy   -7.20 eV per atom

VASP calculation (PBE) on a geometry-optimized MnAsOs structure.

a = 2.7972 Å, b = 2.7972 Å, c = 6.0563 Å
α = 90.00°, β = 90.00°, γ = 120.00°
With the nearest neighbours (Å) after each atom.
Space group P3m1 (No. 156)
Inequivalent atoms, fractional coordinates:
Mn1 0.0000 0.0000 0.0000 [1 per cell]  3 As 2.50, 3 Os 2.53, 6 Mn 2.80
As1 0.3333 0.6667 0.6848 [1 per cell]  3 Mn 2.50, 3 Os 2.73, 6 As 2.80
Os1 0.6667 0.3333 0.3209 [1 per cell]  3 Mn 2.53, 3 As 2.73, 6 Os 2.80

Results
Uncorrected energy   -8.10 eV per atom

VASP calculation (PBE) on a geometry-optimized MnAs2Os structure.

a = 5.6061 Å, b = 5.6061 Å, c = 11.0861 Å
α = 90.00°, β = 90.00°, γ = 90.00°
With the nearest neighbours (Å) after each atom.
Space group I-42d (No. 122)
Inequivalent atoms, fractional coordinates:
Mn1 0.0000 0.0000 0.0000 [4 per cell]  4 As 2.46
As1 0.2373 0.2500 0.6250 [8 per cell]  2 Os 2.38, 2 Mn 2.46
Os1 0.0000 0.0000 0.5000 [4 per cell]  4 As 2.38

Results
Uncorrected energy   -7.05 eV per atom

VASP calculation (PBE) on a geometry-optimized MnAs2Os structure.

a = 2.8587 Å, b = 2.8587 Å, c = 7.9990 Å
α = 90.00°, β = 90.00°, γ = 90.00°
With the nearest neighbours (Å) after each atom.
Space group P4mm (No. 99)
Inequivalent atoms, fractional coordinates:
Mn1 0.0000 0.0000 0.0000 [1 per cell]  4 As 2.52, 4 Os 2.63
As1 0.0000 0.0000 0.4154 [1 per cell]  4 Os 2.61, 4 As 2.86
As2 0.5000 0.5000 0.8113 [1 per cell]  4 Mn 2.52
Os1 0.5000 0.5000 0.2099 [1 per cell]  4 As 2.61, 4 Mn 2.63, 4 Os 2.86

Results
Uncorrected energy   -7.33 eV per atom

VASP calculation (PBE) on a geometry-optimized MnAs2Os structure.

a = 3.1446 Å, b = 4.1411 Å, c = 5.0750 Å
α = 90.00°, β = 90.75°, γ = 90.00°
With the nearest neighbours (Å) after each atom.
Space group P2/m (No. 10)
Inequivalent atoms, fractional coordinates:
Mn1 0.0000 0.0000 0.0000 [1 per cell]  4 As 2.70, 4 Os 2.97-3.00
As1 0.3892 0.5000 0.7609 [2 per cell]  2 Os 2.48, 2 As 2.52-2.75, 2 Mn 2.70
Os1 0.5000 0.0000 0.5000 [1 per cell]  4 As 2.48

Results
Uncorrected energy   -7.04 eV per atom

VASP calculation (PBE) on a geometry-optimized MnAs2Os structure.

a = 2.9042 Å, b = 4.8368 Å, c = 9.7844 Å
α = 90.00°, β = 90.00°, γ = 90.00°
With the nearest neighbours (Å) after each atom.
Space group Cmm2 (No. 35)
Inequivalent atoms, fractional coordinates:
Mn1 0.0000 0.0000 0.0000 [2 per cell]  2 As 2.49, 2 Os 2.57
As1 0.0000 0.0000 0.4320 [2 per cell]  2 Os 2.56, 4 As 2.82
As2 0.0000 0.5000 0.7936 [2 per cell]  2 Mn 2.49
Os1 0.0000 0.5000 0.2170 [2 per cell]  2 As 2.56, 2 Mn 2.57, 4 Os 2.82

Results
Uncorrected energy   -7.11 eV per atom

VASP calculation (PBE) on a geometry-optimized MnAs2Os structure.

a = 4.2296 Å, b = 2.9978 Å, c = 5.1181 Å
α = 90.00°, β = 114.08°, γ = 90.00°
With the nearest neighbours (Å) after each atom.
Space group P2/m (No. 10)
Inequivalent atoms, fractional coordinates:
Mn1 0.0000 0.0000 0.0000 [1 per cell]  6 As 2.57-2.59
As1 0.5000 0.0000 0.5000 [1 per cell]  2 Mn 2.57, 4 Os 2.59
As2 0.5000 0.5000 0.0000 [1 per cell]  2 Os 2.57, 4 Mn 2.59
Os1 0.0000 0.5000 0.5000 [1 per cell]  6 As 2.57-2.59

Results
Uncorrected energy   -7.19 eV per atom

VASP calculation (PBE) on a geometry-optimized MnAs4Os structure.

a = 7.5838 Å, b = 7.5838 Å, c = 7.5838 Å
α = 90.00°, β = 90.00°, γ = 90.00°
With the nearest neighbours (Å) after each atom.
Space group F-43m (No. 216)
Inequivalent atoms, fractional coordinates:
Mn1 0.0000 0.0000 0.0000 [4 per cell]  12 As 3.14, 4 Os 3.28
As1 0.1247 0.1247 0.3753 [16 per cell]  6 As 2.67-2.69
Os1 0.2500 0.2500 0.7500 [4 per cell]  12 As 3.14, 4 Mn 3.28

Results
Uncorrected energy   -5.49 eV per atom

VASP calculation (PBE) on a geometry-optimized Mn2As2Os structure.

a = 4.2895 Å, b = 4.2895 Å, c = 7.9005 Å
α = 90.00°, β = 90.00°, γ = 90.00°
With the nearest neighbours (Å) after each atom.
Space group I4/mmm (No. 139)
Inequivalent atoms, fractional coordinates:
Mn1 0.0000 0.0000 0.1265 [4 per cell]  1 Mn 2.00
As1 0.0000 0.5000 0.2500 [4 per cell]  4 Mn 2.36
Os1 0.0000 0.0000 0.5000 [2 per cell]  8 As 2.92, 10 Mn 2.95-3.19

Results
Uncorrected energy   -7.07 eV per atom

VASP calculation (PBE) on a geometry-optimized MnAs2Os structure.

a = 2.9669 Å, b = 5.1319 Å, c = 8.2662 Å
α = 90.00°, β = 90.00°, γ = 90.00°
With the nearest neighbours (Å) after each atom.
Space group Cmmm (No. 65)
Inequivalent atoms, fractional coordinates:
Mn1 0.0000 0.0000 0.0000 [2 per cell]  4 As 2.55
As1 0.0000 0.5000 0.2504 [4 per cell]  2 Os 2.54, 2 Mn 2.55
Os1 0.0000 0.0000 0.5000 [2 per cell]  4 As 2.54

Results
Uncorrected energy   -6.94 eV per atom

VASP calculation (PBE) on a geometry-optimized MnAs2Os structure.

a = 6.2979 Å, b = 6.2979 Å, c = 6.2979 Å
α = 90.00°, β = 90.00°, γ = 90.00°
With the nearest neighbours (Å) after each atom.
Space group F-43m (No. 216)
Inequivalent atoms, fractional coordinates:
Mn1 0.0000 0.0000 0.0000 [4 per cell]  4 Os 2.73, 4 As 2.73
As1 0.0000 0.0000 0.5000 [4 per cell]  4 As 2.73, 4 Os 2.73
As2 0.2500 0.2500 0.7500 [4 per cell]  4 As 2.73, 4 Mn 2.73
Os1 0.2500 0.2500 0.2500 [4 per cell]  4 As 2.73, 4 Mn 2.73

Results
Uncorrected energy   -6.87 eV per atom

VASP calculation (PBE) on a geometry-optimized MnAs2Os structure.

a = 4.3786 Å, b = 4.3786 Å, c = 3.0627 Å
α = 90.00°, β = 90.00°, γ = 90.00°
With the nearest neighbours (Å) after each atom.
Space group P4/mmm (No. 123)
Inequivalent atoms, fractional coordinates:
Mn1 0.0000 0.0000 0.0000 [1 per cell]  8 As 2.67
As1 0.0000 0.5000 0.5000 [2 per cell]  4 Mn 2.67, 4 Os 2.67
Os1 0.5000 0.5000 0.0000 [1 per cell]  8 As 2.67

Results
Uncorrected energy   -7.19 eV per atom

VASP calculation (PBE) on a geometry-optimized MnAs2Os structure.

a = 3.9040 Å, b = 3.9040 Å, c = 7.9776 Å
α = 90.00°, β = 90.00°, γ = 90.00°
With the nearest neighbours (Å) after each atom.
Space group I-4m2 (No. 119)
Inequivalent atoms, fractional coordinates:
Mn1 0.0000 0.0000 0.0000 [2 per cell]  8 As 2.76-2.79, 4 Os 2.79
As1 0.0000 0.0000 0.5000 [2 per cell]  4 Mn 2.76, 4 Os 2.79, 4 As 2.79
As2 0.0000 0.5000 0.2500 [2 per cell]  4 Os 2.76, 4 As 2.79, 4 Mn 2.79
Os1 0.0000 0.5000 0.7500 [2 per cell]  8 As 2.76-2.79, 4 Mn 2.79

Results
Uncorrected energy   -7.05 eV per atom

VASP calculation (PBE) on a geometry-optimized MnAs2Os structure.

a = 3.0407 Å, b = 4.2837 Å, c = 11.9114 Å
α = 90.00°, β = 90.00°, γ = 90.00°
With the nearest neighbours (Å) after each atom.
Space group Immm (No. 71)
Inequivalent atoms, fractional coordinates:
Mn1 0.0000 0.0000 0.0000 [2 per cell]  4 Os 2.63, 4 As 2.91
As1 0.0000 0.5000 0.1655 [4 per cell]  2 Os 2.49
Os1 0.0000 0.0000 0.5000 [2 per cell]  4 As 2.49, 4 Mn 2.63

Results
Uncorrected energy   -7.19 eV per atom

VASP calculation (PBE) on a geometry-optimized Mn2As2Os structure.

a = 6.6646 Å, b = 6.6646 Å, c = 3.3137 Å
α = 90.00°, β = 90.00°, γ = 90.00°
With the nearest neighbours (Å) after each atom.
Space group P4/mbm (No. 127)
Inequivalent atoms, fractional coordinates:
Mn1 0.1403 0.3597 0.0000 [4 per cell]  6 As 2.54-2.58, 1 Mn 2.64
As1 0.1559 0.6559 0.5000 [4 per cell]  2 Os 2.52, 6 Mn 2.54-2.58
Os1 0.0000 0.0000 0.5000 [2 per cell]  4 As 2.52

Results
Uncorrected energy   -7.63 eV per atom

VASP calculation (PBE) on a geometry-optimized MnAsOs structure.

a = 2.8934 Å, b = 4.7832 Å, c = 12.8908 Å
α = 90.00°, β = 90.00°, γ = 90.00°
With the nearest neighbours (Å) after each atom.
Space group Fmm2 (No. 42)
Inequivalent atoms, fractional coordinates:
Mn1 0.0000 0.0000 0.0000 [4 per cell]  2 Os 2.49, 2 As 2.55
As1 0.0000 0.0000 0.3374 [4 per cell]  2 Mn 2.55, 2 Os 2.73, 4 As 2.80
Os1 0.0000 0.0000 0.6575 [4 per cell]  2 Mn 2.49, 2 As 2.73

Results
Uncorrected energy   -7.86 eV per atom

VASP calculation (PBE) on a geometry-optimized MnAsOs4 structure.

a = 7.3350 Å, b = 7.3350 Å, c = 7.3350 Å
α = 90.00°, β = 90.00°, γ = 90.00°
With the nearest neighbours (Å) after each atom.
Space group F-43m (No. 216)
Inequivalent atoms, fractional coordinates:
Mn1 0.0000 0.0000 0.0000 [4 per cell]  12 Os 3.04, 4 As 3.18
As1 0.2500 0.2500 0.2500 [4 per cell]  12 Os 3.04, 4 Mn 3.18
Os1 0.1250 0.1250 0.6250 [16 per cell]  6 Os 2.59

Results
Uncorrected energy   -8.96 eV per atom

VASP calculation (PBE) on a geometry-optimized MnAsOsRu2 structure.

a = 4.6962 Å, b = 4.6962 Å, c = 4.6082 Å
α = 90.00°, β = 90.00°, γ = 90.00°
With the nearest neighbours (Å) after each atom.
Space group P4/mmm (No. 123)
Inequivalent atoms, fractional coordinates:
Mn1 0.0000 0.0000 0.0000 [1 per cell]  8 Ru 3.29, 4 As 3.32
As1 0.5000 0.5000 0.0000 [1 per cell]  2 Os 2.30
Os1 0.5000 0.5000 0.5000 [1 per cell]  2 As 2.30, 4 Ru 2.35
Ru1 0.0000 0.5000 0.5000 [2 per cell]  2 Os 2.35

Results
Uncorrected energy   -6.80 eV per atom

VASP calculation (PBE) on a geometry-optimized ScMnAsOs2 structure.

a = 4.5713 Å, b = 4.5713 Å, c = 4.4065 Å
α = 90.00°, β = 90.00°, γ = 90.00°
With the nearest neighbours (Å) after each atom.
Space group P4/mmm (No. 123)
Inequivalent atoms, fractional coordinates:
Sc1 0.0000 0.0000 0.0000 [1 per cell]  8 Os 3.17, 4 Mn 3.23
Mn1 0.5000 0.5000 0.0000 [1 per cell]  2 As 2.20
As1 0.5000 0.5000 0.5000 [1 per cell]  2 Mn 2.20, 4 Os 2.29
Os1 0.0000 0.5000 0.5000 [2 per cell]  2 As 2.29

Results
Uncorrected energy   -7.89 eV per atom

VASP calculation (PBE) on a geometry-optimized MnAsOsSe2 structure.

a = 5.0985 Å, b = 5.0985 Å, c = 4.5900 Å
α = 90.00°, β = 90.00°, γ = 90.00°
With the nearest neighbours (Å) after each atom.
Space group P4/mmm (No. 123)
Inequivalent atoms, fractional coordinates:
Mn1 0.0000 0.0000 0.0000 [1 per cell]  8 Se 3.43, 4 As 3.61
As1 0.5000 0.5000 0.0000 [1 per cell]  2 Os 2.29
Os1 0.5000 0.5000 0.5000 [1 per cell]  2 As 2.29, 4 Se 2.55
Se1 0.0000 0.5000 0.5000 [2 per cell]  2 Os 2.55

Results
Formation energy (no corrections)   0.79 eV/atom

VASP calculation (PBE) on a geometry-optimized MnAsOsSe2 structure.

a = 4.5250 Å, b = 4.5250 Å, c = 4.4981 Å
α = 90.00°, β = 90.00°, γ = 90.00°
With the nearest neighbours (Å) after each atom.
Space group P4/mmm (No. 123)
Inequivalent atoms, fractional coordinates:
Mn1 0.0000 0.0000 0.0000 [1 per cell]  2 As 2.25, 4 Se 2.26
As1 0.0000 0.0000 0.5000 [1 per cell]  2 Mn 2.25
Os1 0.5000 0.5000 0.5000 [1 per cell]  8 Se 3.19, 4 As 3.20
Se1 0.0000 0.5000 0.0000 [2 per cell]  2 Mn 2.26

Results
Formation energy (no corrections)   1.15 eV/atom

VASP calculation (PBE) on a geometry-optimized MnAs2OsSe structure.

a = 4.6354 Å, b = 4.6354 Å, c = 5.5821 Å
α = 90.00°, β = 90.00°, γ = 90.00°
With the nearest neighbours (Å) after each atom.
Space group P4/mmm (No. 123)
Inequivalent atoms, fractional coordinates:
Mn1 0.0000 0.0000 0.0000 [1 per cell]  4 Se 3.28, 8 As 3.63
As1 0.0000 0.5000 0.5000 [2 per cell]  2 Os 2.32
Os1 0.5000 0.5000 0.5000 [1 per cell]  4 As 2.32
Se1 0.5000 0.5000 0.0000 [1 per cell]  2 Os 2.79

Results
Formation energy (no corrections)   0.75 eV/atom

VASP calculation (PBE) on a geometry-optimized MnAs2OsSe structure.

a = 4.4975 Å, b = 4.4975 Å, c = 4.5710 Å
α = 90.00°, β = 90.00°, γ = 90.00°
With the nearest neighbours (Å) after each atom.
Space group P4/mmm (No. 123)
Inequivalent atoms, fractional coordinates:
Mn1 0.0000 0.0000 0.0000 [1 per cell]  4 As 2.25, 2 Se 2.29
As1 0.0000 0.5000 0.0000 [2 per cell]  2 Mn 2.25
Os1 0.5000 0.5000 0.5000 [1 per cell]  4 Se 3.18, 8 As 3.21
Se1 0.0000 0.0000 0.5000 [1 per cell]  2 Mn 2.29

Results
Formation energy (no corrections)   1.11 eV/atom

VASP calculation (PBE) on a geometry-optimized Mn2VAsOs structure.

a = 4.4515 Å, b = 4.4515 Å, c = 4.4963 Å
α = 90.00°, β = 90.00°, γ = 90.00°
With the nearest neighbours (Å) after each atom.
Space group P4/mmm (No. 123)
Inequivalent atoms, fractional coordinates:
Mn1 0.0000 0.5000 0.0000 [2 per cell]  2 V 2.23
V1 0.0000 0.0000 0.0000 [1 per cell]  4 Mn 2.23, 2 Os 2.25
As1 0.5000 0.5000 0.5000 [1 per cell]  4 Os 3.15, 8 Mn 3.16
Os1 0.0000 0.0000 0.5000 [1 per cell]  2 V 2.25

Results
Uncorrected energy   -7.49 eV per atom

VASP calculation (PBE) on a geometry-optimized Y2MnAsOs structure.

a = 5.3733 Å, b = 5.3733 Å, c = 4.4935 Å
α = 90.00°, β = 90.00°, γ = 90.00°
With the nearest neighbours (Å) after each atom.
Space group P4/mmm (No. 123)
Inequivalent atoms, fractional coordinates:
Y1 0.0000 0.5000 0.0000 [2 per cell]  2 As 2.69
Mn1 0.0000 0.0000 0.5000 [1 per cell]  8 Y 3.50, 4 Os 3.80
As1 0.5000 0.5000 0.0000 [1 per cell]  2 Os 2.25
Os1 0.5000 0.5000 0.5000 [1 per cell]  2 As 2.25

Results
Uncorrected energy   -7.27 eV per atom